## Sm5Dy12Al3 (PBE-GGA)

Data for crystalline Sm5Dy12Al3 at its relaxed geometry.

Properties
D(E_F) = 291.6 states/eV per cell
Mass density = 6.30 g/cm³
Formation energy = 841 meV per atom
Final energy = -585.77 eV for the cell shown

a b c (Å): 18.0400 18.0400 18.0400
angles (deg): 90.00 90.00 90.00
Space group Ia-3d (No. 230)
Symmetry-distinct sites (fractional):
Sm: 0.0000 0.0000 0.0000 (multiplicity 16)
Sm: 0.0000 0.2500 0.3750 (multiplicity 24)
Dy: 0.0050 0.0840 0.6507 (multiplicity 96)
Al: 0.0000 0.2500 0.1250 (multiplicity 24)